Material: VSnSbF2
Method: DFT, PBE+U
State: relaxed

a = 4.3197 Å, b = 4.3197 Å, c = 6.2309 Å
α = 90.00°, β = 90.00°, γ = 90.00°
Closest atoms and distances in Å follow each position.
Space group P4/mmm (No. 123)
Asymmetric unit:
V 0.0000 0.0000 0.0000 [1 per cell]  4 Sn 3.05
Sn 0.5000 0.5000 0.0000 [1 per cell]  4 V 3.05, 2 Sb 3.12
Sb 0.5000 0.5000 0.5000 [1 per cell]  4 F 2.16
F 0.0000 0.5000 0.5000 [2 per cell]  2 Sb 2.16

Results
N(E_F) (states/eV/f.u.): 2.28
Energy (eV/atom): -4.47